Material: BeGaNF2
Method: DFT, GGA-PBE
State: optimized geometry

Cell lengths 3.785, 3.785, 3.995 Å; angles 90.00, 90.00, 90.00 degrees
Space group P4/mmm (No. 123)
Unique sites:
Be 0.000 0.000 0.000 [1 per cell]
Ga 0.500 0.500 0.500 [1 per cell]
N 0.500 0.500 0.000 [1 per cell]
F 0.000 0.500 0.500 [2 per cell]

Results
* polymorph energy (0 for the lowest one): 0.802 eV/atom
* total energy: -4.28 eV/atom
* DOS at the Fermi energy: 0.156 states/eV per atom
* uncorrected formation energy: -0.515 eV/atom